An optimized crystal structure of Dy12ZnCd6, computed with PBE.

Cell lengths 11.2403, 11.2403, 14.2824 Å; angles 90.00, 90.00, 120.00 degrees
Space group R-3 (No. 148, hexagonal axes)
Unique sites:
Dy 0.0267 0.1861 0.3251
Dy 0.0598 0.8503 0.9065
Zn 0.0000 0.0000 0.5000
Cd 0.0315 0.4362 0.2044

Calculated values
* theoretical density: 8.6 g/cm3
* DOS at the Fermi energy: 21.8 states/eV/f.u.
* DFT total energy: -3.3696 eV per atom
* E_form: -196 kJ/mol of formula units
* magnetic moment: 0.0 μB per cell

---

An optimized crystal structure of Dy8Zn2Cd, computed with PBE.

Cell lengths 17.7209, 5.0960, 7.1261 Å; angles 90.00, 108.62, 90.00 degrees
Space group C2/m (No. 12)
Unique sites:
Dy 0.0299 0.0000 0.2651
Dy 0.0930 0.5000 0.9692
Dy 0.1728 0.5000 0.4726
Dy 0.1939 0.0000 0.8073
Zn 0.1849 0.0000 0.2015
Cd 0.0000 0.5000 0.5000

Calculated values
* theoretical density: 8.4 g/cm3
* DOS at the Fermi energy: 10.8 states/eV/f.u.
* DFT total energy: -3.7964 eV per atom
* E_form: -143 kJ/mol of formula units
* magnetic moment: 0.0 μB per cell